This record from Alexandria via LeMat-Bulk describes a geometry-optimized AcPmSmSi structure. The functional is PBE-GGA.

Lattice parameters (Å, degrees): 7.7201 7.7201 7.7201 90.00 90.00 90.00
Space group F-43m (No. 216)
Inequivalent atoms, fractional coordinates:
Ac 0.0000 0.0000 0.0000 (multiplicity 4)
Pm 0.2500 0.2500 0.2500 (multiplicity 4)
Sm 0.2500 0.2500 0.7500 (multiplicity 4)
Si 0.0000 0.0000 0.5000 (multiplicity 4)

Output
The calculation puts the raw formation energy at 6.0 kJ per mole of atoms. Its size of the total moment is 0.0 μB/cell.